Compound: BaVCoO4
Source: Alexandria via LeMat-Bulk
Functional: PBE+U
Structure: relaxed

Lattice parameters (Å, degrees): 5.6511 5.4333 6.5744 90.00 100.98 90.00
Closest atoms and distances in Å follow each position.
Element x y z (fractional)
Ba 0.1930 0.2500 0.0978  1 O 2.50
Ba 0.8070 0.7500 0.9022  1 O 2.50
V 0.1433 0.7500 0.4699  6 O 1.89-2.03
V 0.8567 0.2500 0.5301  6 O 1.89-2.03
Co 0.3843 0.2500 0.6546  4 O 1.93-2.05
Co 0.6157 0.7500 0.3454  4 O 1.93-2.05
O 0.1092 0.0106 0.6773  2 V 2.00-2.03, 1 Co 2.05
O 0.1092 0.4894 0.6773  2 V 2.00-2.03, 1 Co 2.05
O 0.2742 0.7500 0.2068  1 Co 1.97, 1 V 2.01
O 0.4753 0.7500 0.5911  1 V 1.89, 1 Co 1.93
O 0.5247 0.2500 0.4089  1 V 1.89, 1 Co 1.93
O 0.7258 0.2500 0.7932  1 Co 1.97, 1 V 2.01
O 0.8908 0.5106 0.3227  2 V 2.00-2.03, 1 Co 2.05
O 0.8908 0.9894 0.3227  2 V 2.00-2.03, 1 Co 2.05

Values from the calculation:
Calculated total energy, hartree per atom: -0.247
Spin magnetization, μB per atom: 0.570
Volume, Å³/atom: 14.2
Symmetry: No. 11